Record 1
Density functional theory data (PBE) for an optimized crystal structure of SiAgSe2.

As for the uncorrected energy: -3.74 eV per atom.

Cell lengths 3.4238, 4.4085, 12.4428 Å; angles 90.00, 90.00, 90.00 degrees
Last column: nearest neighbours and their distance in Å.
Space group Immm (No. 71)
Unique sites:
Si1 0.0000 0.0000 0.0000 [2 per cell]  4 Se 2.48
Ag1 0.0000 0.0000 0.5000 [2 per cell]  4 Si 2.79, 4 Se 2.84
Se1 0.0000 0.5000 0.3562 [4 per cell]  2 Si 2.48

Record 2
Density functional theory data (PBE) for an optimized crystal structure of Na2ICl6.

As for the uncorrected energy: -2.48 eV per atom. The calculation puts the excess energy over the best structure of this formula in the dataset at 0.023 eV per atom.

Cell lengths 11.1213, 19.3542, 5.5377 Å; angles 90.00, 93.27, 90.00 degrees
Last column: nearest neighbours and their distance in Å.
Space group C2/c (No. 15)
Unique sites:
Na1 0.1257 0.0740 0.0018 [8 per cell]  6 Cl 2.77-3.04
I1 0.0000 0.3204 0.7500 [4 per cell]  4 Cl 2.48-2.51
Cl1 0.0994 0.2304 0.0195 [8 per cell]  1 I 2.51
Cl2 0.1019 0.4111 0.0027 [8 per cell]  1 I 2.48
Cl3 0.1266 0.0707 0.5015 [8 per cell]  4 Na 2.77-2.81

Record 3
Density functional theory data (PBE) for an optimized crystal structure of TePt3N.

As for the uncorrected energy: -5.29 eV per atom. The calculation puts the excess energy over the best structure of this formula in the dataset at 0.000 eV per atom.

Cell lengths 4.3206, 4.3206, 4.3206 Å; angles 90.00, 90.00, 90.00 degrees
Last column: nearest neighbours and their distance in Å.
Space group Pm-3m (No. 221)
Unique sites:
Te1 0.0000 0.0000 0.0000 [1 per cell]  12 Pt 3.06
Pt1 0.0000 0.5000 0.5000 [3 per cell]  2 N 2.16
N1 0.5000 0.5000 0.5000 [1 per cell]  6 Pt 2.16

Number 1: formation energy without anion corrections 0.073 eV per atom. Number 2: formation energy without anion corrections -0.783 eV per atom. Number 3: formation energy without anion corrections 0.627 eV per atom.